A plane-wave DFT calculation with PBE+U was carried out for a relaxed structure of Cr3PdF.

Cell and atoms, written as POSCAR:
```
Cr3PdF
1.0
4.4004 0.0000 0.0000
0.0000 4.4004 0.0000
0.0000 0.0000 4.4004
Cr Pd F
3 1 1
Direct
0.0000 0.0000 0.5000 Cr
0.0000 0.5000 0.0000 Cr
0.5000 0.0000 0.0000 Cr
0.5000 0.5000 0.5000 Pd
0.0000 0.0000 0.0000 F
```

Values from the calculation:
Density of states at the Fermi level = 3.285 states/eV/cell
Energy relative to the lowest polymorph listed for this composition = 0 meV/atom
Magnetization = 13.93 μB/cell
Space-group type = Pm-3m (221)